First-principles (PBE) data for a relaxed structure of Ba4GaO, as listed in Alexandria via LeMat-Bulk.

Cell: 6.8732 9.1718 11.1134 Å, 90.00 90.00 130.50°
Element x y z (fractional)
O 0.9942 0.1294 0.7500
Ba 0.6256 0.8557 0.2500
Ba 0.3744 0.1443 0.7500
Ba 0.9965 0.7135 0.0561
O 0.0058 0.8706 0.2500
Ga 0.0182 0.3923 0.2500
Ba 0.6152 0.7735 0.7500
Ba 0.9965 0.7135 0.4439
Ba 0.3848 0.2265 0.2500
Ba 0.0035 0.2865 0.5561
Ga 0.9818 0.6077 0.7500
Ba 0.0035 0.2865 0.9439

Calculated values
excess energy over the best structure of this formula in the dataset: 0 meV/atom
Fermi-level density of states: 11.73 states/eV/cell
uncorrected energy: -42.284 eV for the cell shown
energy relative to the elements, uncorrected: -0.91 eV per atom